Material: Li5Mg4
Method: DFT, SCAN
State: single point on PBEsol structure

a = 8.4272 Å, b = 8.4272 Å, c = 5.8389 Å
α = 90.00°, β = 90.00°, γ = 120.00°
Space group P6_3/mcm (No. 193)
Asymmetric unit:
Li1 0.0000 0.3101 0.2500 x6
Li2 0.3333 0.6667 0.0000 x4
Mg1 0.0000 0.0000 0.0000 x2
Mg2 0.0000 0.3573 0.7500 x6

## Properties
* ΔE_f: -0.016 eV/atom
* excess energy over the best structure of this formula in the dataset: 19.5 meV/atom

Material: Li17Mg12
Method: DFT, SCAN
State: single point on PBEsol structure

a = 10.700 Å, b = 10.700 Å, c = 10.700 Å
α = 90.00°, β = 90.00°, γ = 90.00°
Space group I-43m (No. 217)
Asymmetric unit:
Li1 0.000 0.000 0.000 x2
Li2 0.052 0.364 0.636 x24
Li3 0.179 0.179 0.179 x8
Mg1 0.096 0.096 0.708 x24

## Properties
* ΔE_f: 0.012 eV/atom

Material: LiMg2
Method: DFT, SCAN
State: single point on PBEsol structure

a = 4.8919 Å, b = 4.8919 Å, c = 5.9295 Å
α = 90.00°, β = 90.00°, γ = 120.00°
Space group P6_3/mmc (No. 194)
Asymmetric unit:
Li1 0.3333 0.6667 0.2500 x2
Mg1 0.0000 0.0000 0.0000 x2
Mg2 0.3333 0.6667 0.7500 x2

## Properties
* ΔE_f: -0.030 eV/atom

Material: LiMg2
Method: DFT, SCAN
State: single point on PBEsol structure

a = 5.572 Å, b = 9.720 Å, c = 5.361 Å
α = 90.00°, β = 121.15°, γ = 90.00°
Space group C2/m (No. 12)
Asymmetric unit:
Li1 0.000 0.250 0.000 x4
Mg1 0.000 0.156 0.500 x4
Mg2 0.167 0.500 0.832 x4

## Properties
* ΔE_f: 0.051 eV/atom

Material: LiMg2
Method: DFT, SCAN
State: single point on PBEsol structure

a = 8.5006 Å, b = 8.5006 Å, c = 2.9790 Å
α = 90.00°, β = 90.00°, γ = 120.00°
Space group P-62m (No. 189)
Asymmetric unit:
Li1 0.0000 0.0000 0.0000 x1
Li2 0.3333 0.6667 0.5000 x2
Mg1 0.0000 0.3528 0.0000 x3
Mg2 0.0000 0.6867 0.5000 x3

## Properties
* ΔE_f: -0.051 eV/atom

Material: Li3Mg5
Method: DFT, SCAN
State: single point on PBEsol structure

a = 6.847 Å, b = 6.847 Å, c = 6.942 Å
α = 90.00°, β = 90.00°, γ = 90.00°
Space group I4/mmm (No. 139)
Asymmetric unit:
Li1 0.000 0.000 0.000 x2
Li2 0.000 0.500 0.000 x4
Mg1 0.000 0.000 0.500 x2
Mg2 0.250 0.250 0.250 x8

## Properties
* ΔE_f: -0.028 eV/atom
* excess energy over the best structure of this formula in the dataset: 17.2 meV/atom

Material: LiMg2
Method: DFT, SCAN
State: single point on PBEsol structure

a = 3.081 Å, b = 5.918 Å, c = 7.384 Å
α = 103.23°, β = 90.18°, γ = 104.39°
Space group P1 (No. 1)
Asymmetric unit:
Li1 0.000 0.000 0.000 x1
Li2 0.332 0.662 0.662 x1
Mg1 0.279 0.552 0.041 x1
Mg2 0.609 0.210 0.716 x1
Mg3 0.663 0.328 0.328 x1
Mg4 0.944 0.877 0.382 x1

## Properties
* ΔE_f: -0.036 eV/atom

Material: LiMg2
Method: DFT, SCAN
State: single point on PBEsol structure

a = 3.390 Å, b = 3.390 Å, c = 10.569 Å
α = 90.00°, β = 90.00°, γ = 90.00°
Space group I4/mmm (No. 139)
Asymmetric unit:
Li1 0.000 0.000 0.000 x2
Mg1 0.000 0.000 0.342 x4

## Properties
* ΔE_f: -0.057 eV/atom

Material: LiMg2
Method: DFT, SCAN
State: single point on PBEsol structure

a = 4.939 Å, b = 3.386 Å, c = 14.922 Å
α = 90.00°, β = 90.00°, γ = 90.00°
Space group Amm2 (No. 38)
Asymmetric unit:
Li1 0.000 0.000 0.000 x2
Li2 0.000 0.000 0.337 x2
Mg1 0.000 0.000 0.668 x2
Mg2 0.500 0.000 0.174 x2
Mg3 0.500 0.000 0.507 x2
Mg4 0.500 0.000 0.841 x2

## Properties
* ΔE_f: -0.037 eV/atom

Material: LiMg5
Method: DFT, SCAN
State: single point on PBEsol structure

a = 5.4586 Å, b = 5.4586 Å, c = 5.0166 Å
α = 90.00°, β = 90.00°, γ = 120.00°
Space group P-62m (No. 189)
Asymmetric unit:
Li1 0.0000 0.0000 0.0000 x1
Mg1 0.0000 0.3295 0.5000 x3
Mg2 0.3333 0.6667 0.0000 x2

## Properties
* ΔE_f: -0.026 eV/atom
* excess energy over the best structure of this formula in the dataset: 7.2 meV/atom

Material: Li3Mg5
Method: DFT, SCAN
State: single point on PBEsol structure

a = 10.887 Å, b = 10.887 Å, c = 5.488 Å
α = 90.00°, β = 90.00°, γ = 90.00°
Space group I4/mcm (No. 140)
Asymmetric unit:
Li1 0.000 0.000 0.250 x4
Li2 0.172 0.328 0.000 x8
Mg1 0.000 0.500 0.250 x4
Mg2 0.075 0.224 0.500 x16

## Properties
* ΔE_f: -0.014 eV/atom
* excess energy over the best structure of this formula in the dataset: 31.6 meV/atom

Material: LiMg2
Method: DFT, SCAN
State: single point on PBEsol structure

a = 3.1464 Å, b = 3.1464 Å, c = 14.9759 Å
α = 90.00°, β = 90.00°, γ = 120.00°
Space group P-3m1 (No. 164)
Asymmetric unit:
Li1 0.3333 0.6667 0.0811 x2
Mg1 0.3333 0.6667 0.4153 x2
Mg2 0.3333 0.6667 0.7568 x2

## Properties
* ΔE_f: -0.020 eV/atom

Material: LiMg4
Method: DFT, SCAN
State: single point on PBEsol structure

a = 7.003 Å, b = 7.003 Å, c = 4.387 Å
α = 90.00°, β = 90.00°, γ = 90.00°
Space group I4/m (No. 87)
Asymmetric unit:
Li1 0.000 0.000 0.000 x2
Mg1 0.099 0.702 0.500 x8

## Properties
* ΔE_f: -0.009 eV/atom

Material: LiMg2
Method: DFT, SCAN
State: single point on PBEsol structure

a = 5.0350 Å, b = 5.0350 Å, c = 2.9642 Å
α = 90.00°, β = 90.00°, γ = 120.00°
Space group P6/mmm (No. 191)
Asymmetric unit:
Li1 0.0000 0.0000 0.0000 x1
Mg1 0.3333 0.6667 0.5000 x2

## Properties
* ΔE_f: 0.043 eV/atom

Material: LiMg2
Method: DFT, SCAN
State: single point on PBEsol structure

a = 9.367 Å, b = 5.346 Å, c = 5.960 Å
α = 90.00°, β = 122.42°, γ = 90.00°
Space group C2/c (No. 15)
Asymmetric unit:
Li1 0.000 0.082 0.250 x4
Mg1 0.168 0.418 0.751 x8

## Properties
* ΔE_f: -0.040 eV/atom

Material: LiMg2
Method: DFT, SCAN
State: single point on PBEsol structure

a = 5.3927 Å, b = 5.3927 Å, c = 15.0411 Å
α = 90.00°, β = 90.00°, γ = 120.00°
Space group R32 (No. 155, hexagonal axes)
Asymmetric unit:
Li1 0.0000 0.0000 0.1667 x6
Mg1 0.0000 0.0000 0.5000 x3
Mg2 0.0000 0.6698 0.0000 x9

## Properties
* ΔE_f: -0.036 eV/atom

Material: LiMg2
Method: DFT, SCAN
State: single point on PBEsol structure

a = 4.407 Å, b = 4.407 Å, c = 25.901 Å
α = 90.00°, β = 90.00°, γ = 90.00°
Space group I4_1/amd (No. 141, origin choice 2)
Asymmetric unit:
Li1 0.000 0.250 0.292 x8
Mg1 0.000 0.250 0.125 x8
Mg2 0.000 0.250 0.791 x8

## Properties
* ΔE_f: -0.009 eV/atom

Material: LiMg7
Method: DFT, SCAN
State: single point on PBEsol structure

a = 8.873 Å, b = 8.873 Å, c = 8.873 Å
α = 90.00°, β = 90.00°, γ = 90.00°
Space group Fm-3m (No. 225)
Asymmetric unit:
Li1 0.000 0.000 0.000 x4
Mg1 0.000 0.000 0.500 x4
Mg2 0.000 0.250 0.250 x24

## Properties
* ΔE_f: 0.015 eV/atom

Material: LiMg2Mn
Method: DFT, SCAN
State: single point on PBEsol structure

a = 2.9689 Å, b = 2.9689 Å, c = 28.7553 Å
α = 90.00°, β = 90.00°, γ = 120.00°
Space group R-3m (No. 166, hexagonal axes)
Asymmetric unit:
Li1 0.0000 0.0000 0.0000 x3
Mg1 0.0000 0.0000 0.2460 x6
Mn1 0.0000 0.0000 0.5000 x3

## Properties
* ΔE_f: 0.043 eV/atom

Material: Li2MgMn
Method: DFT, SCAN
State: single point on PBEsol structure

a = 2.8632 Å, b = 2.8632 Å, c = 28.9469 Å
α = 90.00°, β = 90.00°, γ = 120.00°
Space group R-3m (No. 166, hexagonal axes)
Asymmetric unit:
Li1 0.0000 0.0000 0.2445 x6
Mg1 0.0000 0.0000 0.0000 x3
Mn1 0.0000 0.0000 0.5000 x3

## Properties
* ΔE_f: 0.092 eV/atom

no.,volume (Å³/atom)
1,20.0
2,21.1
3,20.5
4,20.7
5,20.7
6,20.3
7,21.1
8,20.2
9,20.8
10,21.6
11,20.3
12,21.4
13,21.5
14,21.7
15,21.0
16,21.0
17,21.0
18,21.8
19,18.3
20,17.1